[1]
Entry from Alexandria via LeMat-Bulk: a geometry-optimized Np2SnF11 structure (PBE-GGA).

Unit cell a=8.830 b=8.830 c=8.830 alpha=122.10 beta=107.25 gamma=99.91
Fractional positions:
1 Np 0.180 0.150 0.330
2 Np 0.320 0.650 0.970
3 Np 0.680 0.350 0.030
4 Np 0.820 0.850 0.670
5 Sn 0.250 0.750 0.500
6 Sn 0.750 0.250 0.500
7 F 0.000 0.000 0.000
8 F 0.053 0.454 0.779
9 F 0.060 0.865 0.663
10 F 0.175 0.954 0.401
11 F 0.202 0.397 0.337
12 F 0.215 0.865 0.080
13 F 0.285 0.365 0.650
14 F 0.298 0.635 0.194
15 F 0.325 0.726 0.779
16 F 0.440 0.103 0.806
17 F 0.447 0.226 0.401
18 F 0.500 0.500 0.000
19 F 0.553 0.774 0.599
20 F 0.560 0.897 0.194
21 F 0.675 0.274 0.221
22 F 0.702 0.365 0.806
23 F 0.715 0.635 0.350
24 F 0.785 0.135 0.920
25 F 0.798 0.603 0.663
26 F 0.825 0.046 0.599
27 F 0.940 0.135 0.337
28 F 0.947 0.546 0.221

Calculated values
Its energy relative to the elements, uncorrected is -3.142 eV per atom. The value obtained for the density of states at the Fermi level is 15.49 states/eV/f.u. Its total magnetization is 0.357 μB/atom. The energy is -6.747 eV per atom.

[2]
Entry from Alexandria via LeMat-Bulk: a geometry-optimized TlN2Cl4 structure (PBE-GGA).

Unit cell a=4.439 b=6.377 c=8.415 alpha=82.96 beta=87.71 gamma=72.66
Fractional positions:
1 Tl 0.000 0.000 0.000
2 N 0.068 0.514 0.692
3 N 0.932 0.486 0.308
4 Cl 0.180 0.733 0.632
5 Cl 0.463 0.266 0.834
6 Cl 0.537 0.734 0.166
7 Cl 0.820 0.267 0.368

Calculated values
Its energy relative to the elements, uncorrected is 0.623 eV per atom. Its total magnetization is 0.429 μB/atom. The energy is -3.149 eV per atom.

- What is the energy in the second record?
  -3.149 eV per atom